[1]
Here is crystalline Sr2PAu at its relaxed geometry from Alexandria via LeMat-Bulk. Energies are from PBE.

## Properties
The value obtained for the magnetic moment is 0.00 μB per atom. The calculation puts the energy of formation at -811 meV/atom.

Cell: 4.4820 4.4820 6.2451 Å, 90.00 90.00 90.00°
Sites, in units of the cell vectors:
Sr 0.0000 0.0000 0.0000
Sr 0.5000 0.5000 0.5000
P 0.0000 0.0000 0.5000
Au 0.5000 0.5000 0.0000

---

[2]
Here is crystalline Sr2PAu at its relaxed geometry from Alexandria via LeMat-Bulk. Energies are from PBE.

## Properties
The value obtained for the magnetic moment is 0.00 μB per atom. The calculation puts the energy of formation at -260 meV/atom.

Cell: 5.2637 5.2637 5.2637 Å, 60.00 60.00 60.00°
Sites, in units of the cell vectors:
Sr 0.0000 0.0000 0.0000
Sr 0.2500 0.2500 0.2500
P 0.7500 0.7500 0.7500
Au 0.5000 0.5000 0.5000

---

[3]
Here is crystalline SrP2Au at its relaxed geometry from Alexandria via LeMat-Bulk. Energies are from PBE.

## Properties
The value obtained for the magnetic moment is 0.00 μB per atom. Its energy above the most stable polymorph in this dataset is 464 meV per atom. The calculation puts the energy of formation at -102 meV/atom.

Cell: 4.5067 4.5067 4.0387 Å, 90.00 90.00 90.00°
Sites, in units of the cell vectors:
Sr 0.0000 0.0000 0.0000
P 0.0000 0.5000 0.5000
P 0.5000 0.0000 0.5000
Au 0.5000 0.5000 0.0000

---

[4]
Here is crystalline Sr2PAu at its relaxed geometry from Alexandria via LeMat-Bulk. Energies are from PBE.

## Properties
The value obtained for the magnetic moment is 0.00 μB per atom. The calculation puts the energy of formation at -564 meV/atom.

Cell: 8.8251 8.8251 8.8251 Å, 134.96 134.96 65.59°
Sites, in units of the cell vectors:
Sr 0.0872 0.6250 0.9622
Sr 0.3750 0.3372 0.4622
Sr 0.6628 0.1250 0.0378
Sr 0.8750 0.9128 0.5378
P 0.0000 0.0000 0.0000
P 0.7500 0.2500 0.5000
Au 0.2500 0.7500 0.5000
Au 0.5000 0.5000 0.0000

---

[5]
Here is crystalline Sr2PAu3 at its relaxed geometry from Alexandria via LeMat-Bulk. Energies are from PBE.

## Properties
The value obtained for the magnetic moment is 0.00 μB per atom. Its energy above the most stable polymorph in this dataset is 15 meV per atom. The calculation puts the energy of formation at -774 meV/atom.

Cell: 4.2506 4.4778 7.9625 Å, 90.00 90.00 90.00°
Sites, in units of the cell vectors:
Sr 0.0000 0.0000 0.0000
Sr 0.0000 0.5000 0.4899
P 0.5000 0.0000 0.3162
Au 0.5000 0.0000 0.6300
Au 0.5000 0.5000 0.1854
Au 0.5000 0.5000 0.8346

---

[6]
Here is crystalline Sr2PAu2 at its relaxed geometry from Alexandria via LeMat-Bulk. Energies are from PBE.

## Properties
The value obtained for the magnetic moment is 0.00 μB per atom. Its energy above the most stable polymorph in this dataset is 34 meV per atom. The calculation puts the energy of formation at -537 meV/atom.

Cell: 5.7895 5.7895 5.7895 Å, 116.83 116.83 95.59°
Sites, in units of the cell vectors:
Sr 0.2500 0.7500 0.5000
Sr 0.7500 0.2500 0.5000
P 0.0000 0.0000 0.0000
Au 0.3290 0.3290 0.0000
Au 0.6710 0.6710 0.0000